[1]
! CdFe2Au PBE optimized geometry; values from VASP
! - DOS at the Fermi energy: 4.84 states/eV/f.u.
! - Calculated volume: 15.9 Å³/atom
! - Total magnetization: 5.58 μB per formula unit
! - E: -19.72 eV/f.u.
! - SG: R-3m
! - Energy of formation from the pure elements: 0.3486 eV per atom
&SYSTEM
  ibrav = 0, nat = 4, ntyp = 3
/
ATOMIC_SPECIES
Au 196.97 Au.upf
Cd 112.41 Cd.upf
Fe 55.84 Fe.upf
ATOMIC_POSITIONS crystal
Au 0.250 0.250 0.250
Cd 0.750 0.750 0.750
Fe 0.998 0.998 0.998
Fe 0.502 0.502 0.502
CELL_PARAMETERS angstrom
9.285 -0.010 -0.006
8.855 2.792 -0.006
8.855 1.358 2.440

=====

[2]
! NpCo5Ge3 PBE optimized geometry; values from VASP
! - DOS at the Fermi energy: 18.23 states/eV/f.u.
! - Calculated volume: 14.4 Å³/atom
! - Total magnetization: 5.39 μB per formula unit
! - E: -63.56 eV/f.u.
! - SG: Cmcm
! - Energy of formation from the pure elements: -0.1373 eV per atom
&SYSTEM
  ibrav = 0, nat = 18, ntyp = 3
/
ATOMIC_SPECIES
Np 237.00 Np.upf
Co 58.93 Co.upf
Ge 72.64 Ge.upf
ATOMIC_POSITIONS crystal
Np 0.811 0.622 0.750
Np 0.189 0.378 0.250
Co 0.809 0.618 0.437
Co 0.191 0.382 0.937
Co 0.000 0.000 0.500
Co 0.000 0.000 0.000
Co 0.447 0.894 0.140
Co 0.553 0.106 0.860
Co 0.553 0.106 0.640
Co 0.809 0.618 0.063
Co 0.191 0.382 0.563
Co 0.447 0.894 0.360
Ge 0.378 0.755 0.946
Ge 0.900 0.800 0.250
Ge 0.378 0.755 0.554
Ge 0.622 0.245 0.446
Ge 0.100 0.200 0.750
Ge 0.622 0.245 0.054
CELL_PARAMETERS angstrom
-3.605 0.608 -1.019
-0.079 -2.532 5.839
0.473 10.290 4.469

=====

[3]
! MnZnCr4S8 PBE optimized geometry; values from VASP
! - DOS at the Fermi energy: 0.48 states/eV/f.u.
! - Calculated volume: 18.3 Å³/atom
! - E_form (uncorrected): -725 meV per atom
! - Total magnetization: 17.00 μB per formula unit
! - E: -92.10 eV/f.u.
! - SG: F-43m
&SYSTEM
  ibrav = 0, nat = 14, ntyp = 4
/
ATOMIC_SPECIES
Mn 54.94 Mn.upf
Zn 65.41 Zn.upf
Cr 52.00 Cr.upf
S 32.06 S.upf
ATOMIC_POSITIONS crystal
Mn 0.750 0.750 0.750
Zn 0.500 0.500 0.500
Cr 0.624 0.125 0.125
Cr 0.125 0.624 0.125
Cr 0.125 0.125 0.624
Cr 0.125 0.125 0.125
S 0.343 0.886 0.886
S 0.886 0.343 0.886
S 0.886 0.886 0.343
S 0.886 0.886 0.886
S 0.906 0.365 0.365
S 0.365 0.906 0.365
S 0.365 0.365 0.906
S 0.365 0.365 0.365
CELL_PARAMETERS angstrom
-5.044 0.237 -5.026
-3.859 -5.811 -1.451
-6.878 -0.260 1.841